Cd2Ru2N: relaxed, PBE-GGA.

Values from the calculation:
**Density of states at the Fermi level**: 7.01 states/eV per cell
**Space group**: P4/mbm
**Calculated total energy**: -4.425 eV per atom

Cell and atoms, written as POSCAR:
```
Cd2Ru2N
1.0
5.965 0.000 0.000
0.000 5.965 0.000
0.000 0.000 4.737
Cd Ru N
4 4 2
Direct
0.163 0.337 0.000 Cd
0.337 0.837 0.000 Cd
0.663 0.163 0.000 Cd
0.837 0.663 0.000 Cd
0.148 0.648 0.500 Ru
0.352 0.148 0.500 Ru
0.648 0.852 0.500 Ru
0.852 0.352 0.500 Ru
0.000 0.000 0.000 N
0.500 0.500 0.000 N
```